(1)
Here is La2CeSiN4 after structural relaxation from Alexandria. Energies are from PBE.

Output
ΔE_f (raw) in eV/atom: -1.0884
ρ in g/cm³: 6.523
Volume in Å³ per atom: 15.97
Density of states at the Fermi level in states/eV/cell: 28.33
Electronic total energy in eV for the cell shown: -252.9

a = 3.502 Å, b = 11.705 Å, c = 12.473 Å
α = 90.00°, β = 90.00°, γ = 90.00°
Space group Cmcm (No. 63)
Inequivalent atoms, fractional coordinates:
La: 0.000 0.135 0.044 (multiplicity 8)
Ce: 0.000 0.407 0.250 (multiplicity 4)
Si: 0.000 0.317 0.750 (multiplicity 4)
N: 0.000 0.099 0.250 (multiplicity 4)
N: 0.000 0.221 0.642 (multiplicity 8)
N: 0.000 0.500 0.000 (multiplicity 4)

---

(2)
Here is La2Ce3SmN6 after structural relaxation from Alexandria. Energies are from PBE.

Output
ΔE_f (raw) in eV/atom: -1.4485
ρ in g/cm³: 7.667
Volume in Å³ per atom: 16.83
Density of states at the Fermi level in states/eV/cell: 15.68
Electronic total energy in eV for the cell shown: -199.4

a = 6.277 Å, b = 10.870 Å, c = 6.279 Å
α = 90.00°, β = 109.45°, γ = 90.00°
Space group C2/m (No. 12)
Inequivalent atoms, fractional coordinates:
La: 0.000 0.167 0.000 (multiplicity 4)
Ce: 0.000 0.000 0.500 (multiplicity 2)
Ce: 0.000 0.334 0.500 (multiplicity 4)
Sm: 0.000 0.500 0.000 (multiplicity 2)
N: 0.236 0.500 0.731 (multiplicity 4)
N: 0.248 0.163 0.731 (multiplicity 8)